1.
First-principles (PBE-GGA) data for MgGa2GeSe6 after structural relaxation, as listed in Alexandria via LeMat-Bulk.

Values from the calculation:
- space-group type = C2/c (15)
- ρ (Mg/m³) = 4.52
- formation energy without anion corrections (eV per atom) = -0.51

a b c (Å): 6.884 8.988 8.988
angles (deg): 86.84 75.70 75.70
Element x y z (fractional)
Se  0.529  0.461  0.283
Se  0.643  0.814  0.953
Se  0.857  0.047  0.186
Se  0.971  0.717  0.539
Se  0.091  0.633  0.107
Se  0.591  0.107  0.633
Se  0.143  0.953  0.814
Se  0.471  0.539  0.717
Se  0.409  0.893  0.367
Se  0.909  0.367  0.893
Se  0.029  0.283  0.461
Se  0.357  0.186  0.047
Ga  0.282  0.748  0.597
Ga  0.718  0.252  0.403
Ga  0.218  0.403  0.252
Ga  0.782  0.597  0.748
Ge  0.750  0.807  0.193
Ge  0.250  0.193  0.807
Mg  0.250  0.889  0.111
Mg  0.750  0.111  0.889



2.
First-principles (PBE-GGA) data for MgGa2SiGe after structural relaxation, as listed in Alexandria via LeMat-Bulk.

Values from the calculation:
- space-group type = P4/mmm (123)
- ρ (Mg/m³) = 3.55
- formation energy without anion corrections (eV per atom) = 0.80

a b c (Å): 5.014 4.916 5.014
angles (deg): 90.00 90.00 90.00
Element x y z (fractional)
Si  0.000  0.500  0.000
Ga  0.500  0.000  0.000
Ga  0.000  0.000  0.500
Ge  0.500  0.500  0.500
Mg  0.000  0.000  0.000



3.
First-principles (PBE-GGA) data for SmMg2GaGe2 after structural relaxation, as listed in Alexandria via LeMat-Bulk.

Values from the calculation:
- space-group type = Pmc2_1 (26)
- VASP energy (Ry per atom) = -0.276
- ρ (Mg/m³) = 5.39

a b c (Å): 4.167 6.956 8.805
angles (deg): 90.00 90.00 90.00
Element x y z (fractional)
Ge  0.500  0.265  0.369
Ge  0.000  0.756  0.115
Ge  0.500  0.765  0.631
Ge  0.000  0.256  0.885
Sm  0.000  0.457  0.583
Sm  0.000  0.957  0.417
Ga  0.500  0.149  0.696
Ga  0.500  0.649  0.304
Mg  0.000  0.370  0.184
Mg  0.000  0.870  0.816
Mg  0.500  0.548  0.925
Mg  0.500  0.048  0.075



4.
First-principles (PBE-GGA) data for Sr2MgGa3Ge4 after structural relaxation, as listed in Alexandria via LeMat-Bulk.

Values from the calculation:
- space-group type = P-4m2 (115)
- VASP energy (Ry per atom) = -0.265
- ρ (Mg/m³) = 5.07

a b c (Å): 4.715 4.715 10.309
angles (deg): 90.00 90.00 90.00
Element x y z (fractional)
Mg  0.500  0.500  0.500
Ge  0.500  0.000  0.636
Ge  0.000  0.000  0.000
Ge  0.000  0.500  0.364
Ge  0.500  0.500  0.000
Sr  0.500  0.000  0.236
Sr  0.000  0.500  0.764
Ga  0.000  0.000  0.500
Ga  0.000  0.500  0.116
Ga  0.500  0.000  0.884



5.
First-principles (PBE-GGA) data for SrMgGa2Ge2 after structural relaxation, as listed in Alexandria via LeMat-Bulk.

Values from the calculation:
- space-group type = P-3m1 (164)
- VASP energy (Ry per atom) = -0.246
- ρ (Mg/m³) = 4.74

a b c (Å): 4.251 4.251 8.882
angles (deg): 90.00 90.00 120.00
Element x y z (fractional)
Mg  0.000  0.000  0.500
Ge  0.667  0.333  0.691
Ge  0.333  0.667  0.309
Ga  0.333  0.667  0.762
Ga  0.667  0.333  0.238
Sr  0.000  0.000  0.000



6.
First-principles (PBE-GGA) data for TbMgGaGe after structural relaxation, as listed in Alexandria via LeMat-Bulk.

Values from the calculation:
- space-group type = F-43m (216)
- VASP energy (Ry per atom) = -0.281
- ρ (Mg/m³) = 6.31

a b c (Å): 4.948 4.948 4.948
angles (deg): 60.00 60.00 60.00
Element x y z (fractional)
Tb  0.000  0.000  0.000
Ga  0.750  0.750  0.750
Ge  0.250  0.250  0.250
Mg  0.500  0.500  0.500



7.
First-principles (PBE-GGA) data for TbMg2GaGe2 after structural relaxation, as listed in Alexandria via LeMat-Bulk.

Values from the calculation:
- space-group type = Pmc2_1 (26)
- VASP energy (Ry per atom) = -0.275
- ρ (Mg/m³) = 5.62

a b c (Å): 4.149 6.885 8.743
angles (deg): 90.00 90.00 90.00
Element x y z (fractional)
Mg  0.500  0.049  0.073
Mg  0.000  0.870  0.814
Mg  0.500  0.549  0.927
Mg  0.000  0.370  0.186
Ga  0.500  0.649  0.311
Ga  0.500  0.149  0.689
Tb  0.000  0.457  0.583
Tb  0.000  0.957  0.417
Ge  0.500  0.262  0.375
Ge  0.500  0.762  0.625
Ge  0.000  0.259  0.883
Ge  0.000  0.759  0.117



8.
First-principles (PBE-GGA) data for ThMg2GaGe2 after structural relaxation, as listed in Alexandria via LeMat-Bulk.

Values from the calculation:
- space-group type = Pmc2_1 (26)
- VASP energy (Ry per atom) = -0.305
- ρ (Mg/m³) = 6.34

a b c (Å): 4.112 6.955 9.075
angles (deg): 90.00 90.00 90.00
Element x y z (fractional)
Ge  0.000  0.763  0.110
Ge  0.000  0.263  0.890
Ge  0.500  0.260  0.354
Ge  0.500  0.760  0.646
Mg  0.500  0.054  0.072
Mg  0.000  0.875  0.822
Mg  0.000  0.375  0.178
Mg  0.500  0.554  0.928
Ga  0.500  0.148  0.704
Ga  0.500  0.648  0.296
Th  0.000  0.445  0.575
Th  0.000  0.945  0.425



9.
First-principles (PBE-GGA) data for MgTlGaGe after structural relaxation, as listed in Alexandria via LeMat-Bulk.

Values from the calculation:
- space-group type = F-43m (216)
- VASP energy (Ry per atom) = -0.207
- ρ (Mg/m³) = 6.81

a b c (Å): 5.038 5.038 5.038
angles (deg): 60.00 60.00 60.00
Element x y z (fractional)
Tl  0.500  0.500  0.500
Ga  0.750  0.750  0.750
Ge  0.000  0.000  0.000
Mg  0.250  0.250  0.250



10.
First-principles (PBE-GGA) data for TmMgGaGe after structural relaxation, as listed in Alexandria via LeMat-Bulk.

Values from the calculation:
- space-group type = F-43m (216)
- VASP energy (Ry per atom) = -0.276
- ρ (Mg/m³) = 6.69

a b c (Å): 4.903 4.903 4.903
angles (deg): 60.00 60.00 60.00
Element x y z (fractional)
Ge  0.750  0.750  0.750
Tm  0.500  0.500  0.500
Mg  0.000  0.000  0.000
Ga  0.250  0.250  0.250



11.
First-principles (PBE-GGA) data for YMg2GaGe after structural relaxation, as listed in Alexandria via LeMat-Bulk.

Values from the calculation:
- space-group type = P4/mmm (123)
- VASP energy (Ry per atom) = -0.176
- ρ (Mg/m³) = 2.60

a b c (Å): 5.763 5.374 5.763
angles (deg): 90.00 90.00 90.00
Element x y z (fractional)
Mg  0.000  0.000  0.500
Mg  0.500  0.000  0.000
Ga  0.000  0.500  0.000
Y  0.000  0.000  0.000
Ge  0.500  0.500  0.500



12.
First-principles (PBE-GGA) data for MgZr2GaGe after structural relaxation, as listed in Alexandria via LeMat-Bulk.

Values from the calculation:
- space-group type = P4/mmm (123)
- VASP energy (Ry per atom) = -0.323
- ρ (Mg/m³) = 4.89

a b c (Å): 5.097 4.566 5.097
angles (deg): 90.00 90.00 90.00
Element x y z (fractional)
Zr  0.000  0.000  0.500
Zr  0.500  0.000  0.000
Ga  0.000  0.500  0.000
Mg  0.000  0.000  0.000
Ge  0.500  0.500  0.500